DFT (PBE) results for a relaxed structure of La3RuAu.

Calculated values
Energy relative to the elements in eV per atom: -0.48
Energy above the most stable polymorph in this dataset in kJ/mol of formula units: 5
Calculated volume in Å³/cell: 308.1

a b c (Å): 8.7025 4.1313 8.7936
angles (deg): 90.00 102.96 90.00
Space group P2_1/m (No. 11)
Symmetry-distinct sites (fractional):
La 0.0602 0.2500 0.3215 [2 per cell]
La 0.2890 0.2500 0.9682 [2 per cell]
La 0.3858 0.7500 0.6308 [2 per cell]
Ru 0.1757 0.2500 0.6736 [2 per cell]
Au 0.3264 0.7500 0.2492 [2 per cell]